PrPuCu2As2P2 | PBE | relaxed

POSCAR file:
```
PrPuCu2As2P2
1.0
3.8845 0.0000 0.0000
0.0000 3.8845 0.0000
0.0000 0.0000 9.8952
As Cu P Pr Pu
2 2 2 1 1
Direct
0.5000 0.0000 0.0096
0.0000 0.5000 0.0096
0.5000 0.0000 0.4965
0.0000 0.5000 0.4965
0.0000 0.0000 0.3435
0.5000 0.5000 0.6381
0.0000 0.0000 0.7611
0.5000 0.5000 0.2452
```

Pr2Cu2SbAsP2 | PBE | relaxed

POSCAR file:
```
Pr2Cu2SbAsP2
1.0
-2.8548 1.1502 -2.5533
-2.2422 -3.1233 1.1000
-4.3006 5.6824 7.3681
As Cu P Pr Sb
1 2 2 2 1
Direct
0.5000 0.5000 0.0000
0.0000 0.0000 0.5000
0.5000 0.5000 0.5000
0.5000 0.0000 0.3624
0.0000 0.5000 0.6376
0.0000 0.5000 0.2558
0.5000 0.0000 0.7442
0.0000 0.0000 0.0000
```

| no. | raw total energy (eV/atom) |
| --- | --- |
| 1 | -6.362 |
| 2 | -5.404 |